Record 1
Tc2As: optimized geometry, PBEsol.

```
3
Lattice="3.0000 0.0000 0.0000 0.0000 4.1911 0.0000 0.0000 -2.0955 3.6296" Properties=species:S:1:pos:R:3 pbc="T T T"
As 0.0000 0.0000 0.0000
Tc 1.5000 2.0955 1.2099
Tc 1.5000 0.0000 2.4197
```

Summary:
VASP energy (eV per atom): -8.726
Polymorph energy (0 for the lowest one) (meV/atom): 605
Total magnetic moment (Bohr magnetons per cell): 0.000
Density (Mg/m³): 9.9
Formation energy (eV/atom): 0.487
Space-group type: P6/mmm

---

Record 2
Tc2As: optimized geometry, PBEsol.

```
6
Lattice="-0.6466 -2.2345 -1.8828 4.5560 -0.1763 1.0231 -3.6163 -3.1554 4.9867" Properties=species:S:1:pos:R:3 pbc="T T T"
As 2.9474 -3.0084 0.1798
As -2.6542 -2.5579 3.9472
Tc -0.9913 -3.1767 1.7321
Tc -0.3952 -3.5203 4.3137
Tc 0.6884 -2.0459 -0.1867
Tc 1.2844 -2.3895 2.3948
```

Summary:
VASP energy (eV per atom): -9.330
Polymorph energy (0 for the lowest one) (meV/atom): 0
Total magnetic moment (Bohr magnetons per cell): 0.000
Density (Mg/m³): 10.5
Formation energy (eV/atom): -0.117
Space-group type: C2/m